A plane-wave DFT calculation with PBE was carried out for Rb4Np3ScTe8 after structural relaxation.

Properties
As for the formation energy without anion corrections: -92.7 kJ per mole of atoms. As for the calculated density: 5.785 Mg/m³.

abc: 9.0831 9.0831 25.5343
angles: 90.00 90.00 120.00
Space group R-3m (No. 166, hexagonal axes)
One atom of each set of equivalent atoms:
Rb: 0.0000 0.0000 0.0000 (multiplicity 3)
Rb: 0.0000 0.5000 0.0000 (multiplicity 9)
Np: 0.0000 0.5000 0.5000 (multiplicity 9)
Sc: 0.0000 0.0000 0.5000 (multiplicity 3)
Te: 0.0000 0.0000 0.2337 (multiplicity 6)
Te: 0.0132 0.5066 0.2319 (multiplicity 18)